The following is a GGA+U calculation of crystalline CoReN2F at its relaxed geometry, from Alexandria via LeMat-Bulk.

Cell and atoms, written as CIF:
```
data_CoReN2F
_chemical_formula_sum 'Co1 Re1 N2 F1'
_symmetry_space_group_name_H-M 'P 4/m m m'
_symmetry_Int_Tables_number 123
_symmetry_space_group_name_Hall '-P 4 2'
_cell_length_a 3.8065
_cell_length_b 3.8065
_cell_length_c 3.5128
_cell_angle_alpha 90.00
_cell_angle_beta 90.00
_cell_angle_gamma 90.00
loop_
_atom_site_label
_atom_site_fract_x
_atom_site_fract_y
_atom_site_fract_z
Co1 0.0000 0.0000 0.0000
Re1 0.5000 0.5000 0.5000
N1 0.0000 0.5000 0.0000
F1 0.0000 0.0000 0.5000
```

## Properties
The total energy comes out at -6.08 eV/atom. As for the distance to the lowest polymorph of the same formula: 0.838 eV/atom.